*A*
VASP calculation (GGA-PBE) on a relaxed BaYI5 crystal.

Cell lengths 6.456, 21.914, 7.808 Å; angles 90.00, 93.58, 90.00 degrees
Space group C2/c (No. 15)
Inequivalent atoms, fractional coordinates:
Ba (0.000, 0.172, 0.250)
Y (0.000, 0.423, 0.250)
I (0.000, 0.131, 0.750)
I (0.004, 0.311, 0.997)
I (0.244, 0.469, 0.596)

***

*B*
VASP calculation (GGA-PBE) on a relaxed BaYI5 crystal.

Cell lengths 13.786, 9.676, 11.885 Å; angles 90.00, 113.81, 90.00 degrees
Space group C2/c (No. 15)
Inequivalent atoms, fractional coordinates:
Ba (0.000, 0.052, 0.250)
Y (0.000, 0.500, 0.000)
I (0.000, 0.422, 0.250)
I (0.056, 0.197, 0.989)
I (0.228, 0.424, 0.623)

***

In eV/atom, relative to the most stable structure: *A* 0.023; *B* 0.000.